Entry 1:
# PBE BaRe4O12, relaxed
# - ρ: 7.7 g/cm³
# - Total energy: -280.9 eV/cell
data_BaRe4O12
_chemical_formula_sum 'Ba2 Re8 O24'
_cell_length_a 7.7348
_cell_length_b 7.7348
_cell_length_c 7.7348
_cell_angle_alpha 90.00
_cell_angle_beta 90.00
_cell_angle_gamma 90.00
_symmetry_space_group_name_H-M 'I m -3 m'
_symmetry_Int_Tables_number 229
_symmetry_space_group_name_Hall '-I 4 2 3'
loop_
_atom_site_label
_atom_site_type_symbol
_atom_site_fract_x
_atom_site_fract_y
_atom_site_fract_z
Ba1 Ba 0.0000 0.0000 0.0000
Re1 Re 0.2500 0.2500 0.2500
O1 O 0.0000 0.2499 0.2499

***

Entry 2:
# PBE HfBe2Pb2, relaxed
# - ρ: 10.2 g/cm³
# - ΔE_f: 654 meV/atom
# - Polymorph energy (0 for the lowest one): 64.0 meV/atom
data_HfBe2Pb2
_chemical_formula_sum 'Hf2 Be4 Pb4'
_cell_length_a 7.7523
_cell_length_b 7.7523
_cell_length_c 3.3114
_cell_angle_alpha 90.00
_cell_angle_beta 90.00
_cell_angle_gamma 90.00
_symmetry_space_group_name_H-M 'P 4/m b m'
_symmetry_Int_Tables_number 127
_symmetry_space_group_name_Hall '-P 4 2ab'
loop_
_atom_site_label
_atom_site_type_symbol
_atom_site_fract_x
_atom_site_fract_y
_atom_site_fract_z
Hf1 Hf 0.0000 0.0000 0.0000
Be1 Be 0.1461 0.3539 0.5000
Pb1 Pb 0.1505 0.6505 0.0000

***

Entry 3:
# PBE Tc3NO, relaxed
# - ρ: 8.4 g/cm³
# - Polymorph energy (0 for the lowest one): 0.0 meV/atom
data_Tc3NO
_chemical_formula_sum 'Tc3 N1 O1'
_cell_length_a 4.0004
_cell_length_b 4.0004
_cell_length_c 4.0004
_cell_angle_alpha 90.00
_cell_angle_beta 90.00
_cell_angle_gamma 90.00
_symmetry_space_group_name_H-M 'P m -3 m'
_symmetry_Int_Tables_number 221
_symmetry_space_group_name_Hall '-P 4 2 3'
loop_
_atom_site_label
_atom_site_type_symbol
_atom_site_fract_x
_atom_site_fract_y
_atom_site_fract_z
Tc1 Tc 0.0000 0.0000 0.5000
N1 N 0.0000 0.0000 0.0000
O1 O 0.5000 0.5000 0.5000

***

Entry 4:
# PBE Sm2ErNpO8, relaxed
# - ρ: 8.7 g/cm³
# - Total energy: -104.5 eV/cell
data_Sm2ErNpO8
_chemical_formula_sum 'Sm2 Er1 Np1 O8'
_cell_length_a 3.8892
_cell_length_b 7.5040
_cell_length_c 5.4779
_cell_angle_alpha 90.00
_cell_angle_beta 94.07
_cell_angle_gamma 90.00
_symmetry_space_group_name_H-M 'P 1 2/m 1'
_symmetry_Int_Tables_number 10
loop_
_symmetry_equiv_pos_as_xyz
'x,y,z'
'-x,-y,-z'
'-x,y,-z'
'x,-y,z'
loop_
_atom_site_label
_atom_site_type_symbol
_atom_site_fract_x
_atom_site_fract_y
_atom_site_fract_z
Sm1 Sm 0.0000 0.2408 0.0000
Er1 Er 0.5000 0.0000 0.5000
Np1 Np 0.5000 0.5000 0.5000
O1 O 0.0059 0.0000 0.2543
O2 O 0.0471 0.5000 0.2798
O3 O 0.4705 0.2767 0.7309

***

Entry 5:
# PBE ErSn2Rh2, relaxed
# - ρ: 9.7 g/cm³
# - ΔE_f: -665 meV/atom
data_ErSn2Rh2
_chemical_formula_sum 'Er2 Sn4 Rh4'
_cell_length_a 5.1938
_cell_length_b 4.6295
_cell_length_c 8.9594
_cell_angle_alpha 90.00
_cell_angle_beta 104.99
_cell_angle_gamma 90.00
_symmetry_space_group_name_H-M 'P 1 21/m 1'
_symmetry_Int_Tables_number 11
loop_
_symmetry_equiv_pos_as_xyz
'x,y,z'
'-x,-y,-z'
'-x,y+1/2,-z'
'x,-y+1/2,z'
loop_
_atom_site_label
_atom_site_type_symbol
_atom_site_fract_x
_atom_site_fract_y
_atom_site_fract_z
Er1 Er 0.1776 0.2500 0.2736
Sn1 Sn 0.2368 0.2500 0.6302
Sn2 Sn 0.3468 0.7500 0.0390
Rh1 Rh 0.1205 0.2500 0.9062
Rh2 Rh 0.3122 0.7500 0.4772

***

Entry 6:
# PBE Tl2GaSnI5, relaxed
# - ρ: 5.1 g/cm³
# - Total energy: -96.6 eV/cell
data_Tl2GaSnI5
_chemical_formula_sum 'Tl8 Ga4 Sn4 I20'
_cell_length_a 4.6766
_cell_length_b 20.1250
_cell_length_c 17.0562
_cell_angle_alpha 90.00
_cell_angle_beta 90.00
_cell_angle_gamma 90.00
_symmetry_space_group_name_H-M 'C m c 21'
_symmetry_Int_Tables_number 36
loop_
_symmetry_equiv_pos_as_xyz
'x,y,z'
'-x,-y,z+1/2'
'-x,y,z'
'x,-y,z+1/2'
'x+1/2,y+1/2,z'
'-x+1/2,-y+1/2,z+1/2'
'-x+1/2,y+1/2,z'
'x+1/2,-y+1/2,z+1/2'
loop_
_atom_site_label
_atom_site_type_symbol
_atom_site_fract_x
_atom_site_fract_y
_atom_site_fract_z
Tl1 Tl 0.0000 0.0773 0.0000
Tl2 Tl 0.0000 0.1315 0.6200
Ga1 Ga 0.0000 0.4496 0.7994
Sn1 Sn 0.0000 0.2397 0.3811
I1 I 0.0000 0.0821 0.4202
I2 I 0.0000 0.2535 0.0164
I3 I 0.0000 0.2850 0.7564
I4 I 0.0000 0.3935 0.3485
I5 I 0.0000 0.4940 0.1193

***

Entry 7:
# PBE ScZnCo, relaxed
# - ρ: 5.9 g/cm³
# - ΔE_f: -296 meV/atom
data_ScZnCo
_chemical_formula_sum 'Sc2 Zn2 Co2'
_cell_length_a 3.8691
_cell_length_b 4.9885
_cell_length_c 5.7176
_cell_angle_alpha 75.29
_cell_angle_beta 70.27
_cell_angle_gamma 67.28
_symmetry_space_group_name_H-M 'P -1'
_symmetry_Int_Tables_number 2
loop_
_symmetry_equiv_pos_as_xyz
'x,y,z'
'-x,-y,-z'
loop_
_atom_site_label
_atom_site_type_symbol
_atom_site_fract_x
_atom_site_fract_y
_atom_site_fract_z
Sc1 Sc 0.0706 0.1843 0.1745
Zn1 Zn 0.3258 0.2657 0.5838
Co1 Co 0.3597 0.6055 0.1726

***

Entry 8:
# PBE Pr2NdTm3, relaxed
# - ρ: 7.7 g/cm³
# - ΔE_f: 201 meV/atom
# - Polymorph energy (0 for the lowest one): 80.7 meV/atom
data_Pr2NdTm3
_chemical_formula_sum 'Pr8 Nd4 Tm12'
_cell_length_a 20.3490
_cell_length_b 3.4296
_cell_length_c 11.6056
_cell_angle_alpha 90.00
_cell_angle_beta 91.43
_cell_angle_gamma 90.00
_symmetry_space_group_name_H-M 'C 1 2/m 1'
_symmetry_Int_Tables_number 12
loop_
_symmetry_equiv_pos_as_xyz
'x,y,z'
'-x,-y,-z'
'-x,y,-z'
'x,-y,z'
'x+1/2,y+1/2,z'
'-x+1/2,-y+1/2,-z'
'-x+1/2,y+1/2,-z'
'x+1/2,-y+1/2,z'
loop_
_atom_site_label
_atom_site_type_symbol
_atom_site_fract_x
_atom_site_fract_y
_atom_site_fract_z
Pr1 Pr 0.1246 0.0000 0.3756
Pr2 Pr 0.1268 0.5000 0.8719
Nd1 Nd 0.0472 0.5000 0.1406
Tm1 Tm 0.0493 0.0000 0.6364
Tm2 Tm 0.2042 0.5000 0.6083
Tm3 Tm 0.2054 0.0000 0.1086

***

Entry 9:
# PBE SiRu2, relaxed
# - ρ: 9.6 g/cm³
# - Total energy: -100.8 eV/cell
data_SiRu2
_chemical_formula_sum 'Si4 Ru8'
_cell_length_a 5.3141
_cell_length_b 4.0306
_cell_length_c 7.4553
_cell_angle_alpha 90.00
_cell_angle_beta 90.00
_cell_angle_gamma 90.00
_symmetry_space_group_name_H-M 'P n m a'
_symmetry_Int_Tables_number 62
loop_
_symmetry_equiv_pos_as_xyz
'x,y,z'
'-x,-y,-z'
'-x+1/2,-y,z+1/2'
'x+1/2,y,-z+1/2'
'x+1/2,-y+1/2,-z+1/2'
'-x+1/2,y+1/2,z+1/2'
'-x,y+1/2,-z'
'x,-y+1/2,z'
loop_
_atom_site_label
_atom_site_type_symbol
_atom_site_fract_x
_atom_site_fract_y
_atom_site_fract_z
Si1 Si 0.2011 0.2500 0.0989
Ru1 Ru 0.0148 0.2500 0.7881
Ru2 Ru 0.1669 0.2500 0.4354

***

Entry 10:
# PBE CsK2MgAu, relaxed
# - ρ: 3.0 g/cm³
# - ΔE_f: -73 meV/atom
# - Polymorph energy (0 for the lowest one): 0.0 meV/atom
data_CsK2MgAu
_chemical_formula_sum 'Cs1 K2 Mg1 Au1'
_cell_length_a 6.5849
_cell_length_b 6.5849
_cell_length_c 5.5271
_cell_angle_alpha 90.00
_cell_angle_beta 90.00
_cell_angle_gamma 90.00
_symmetry_space_group_name_H-M 'P 4/m m m'
_symmetry_Int_Tables_number 123
_symmetry_space_group_name_Hall '-P 4 2'
loop_
_atom_site_label
_atom_site_type_symbol
_atom_site_fract_x
_atom_site_fract_y
_atom_site_fract_z
Cs1 Cs 0.0000 0.0000 0.0000
K1 K 0.0000 0.5000 0.5000
Mg1 Mg 0.5000 0.5000 0.0000
Au1 Au 0.5000 0.5000 0.5000

***

Entry 11:
# PBE KGaTeO4, relaxed
# - ρ: 3.7 g/cm³
# - Total energy: -74.6 eV/cell
data_KGaTeO4
_chemical_formula_sum 'K2 Ga2 Te2 O8'
_cell_length_a 6.7263
_cell_length_b 5.9968
_cell_length_c 7.2938
_cell_angle_alpha 90.00
_cell_angle_beta 114.85
_cell_angle_gamma 90.00
_symmetry_space_group_name_H-M 'P 1 21/m 1'
_symmetry_Int_Tables_number 11
loop_
_symmetry_equiv_pos_as_xyz
'x,y,z'
'-x,-y,-z'
'-x,y+1/2,-z'
'x,-y+1/2,z'
loop_
_atom_site_label
_atom_site_type_symbol
_atom_site_fract_x
_atom_site_fract_y
_atom_site_fract_z
K1 K 0.2121 0.2500 0.0102
Ga1 Ga 0.4787 0.2500 0.6897
Te1 Te 0.2590 0.7500 0.5466
O1 O 0.2211 0.7500 0.2388
O2 O 0.3376 0.0054 0.7408
O3 O 0.4369 0.2500 0.4145

***

Entry 12:
# PBE Ag2HgClO2, relaxed
# - ρ: 6.2 g/cm³
# - Total energy: -36.9 eV/cell
data_Ag2HgClO2
_chemical_formula_sum 'Ag4 Hg2 Cl2 O4'
_cell_length_a 6.1118
_cell_length_b 6.0461
_cell_length_c 7.0052
_cell_angle_alpha 90.00
_cell_angle_beta 95.44
_cell_angle_gamma 90.00
_symmetry_space_group_name_H-M 'P 1 21/m 1'
_symmetry_Int_Tables_number 11
loop_
_symmetry_equiv_pos_as_xyz
'x,y,z'
'-x,-y,-z'
'-x,y+1/2,-z'
'x,-y+1/2,z'
loop_
_atom_site_label
_atom_site_type_symbol
_atom_site_fract_x
_atom_site_fract_y
_atom_site_fract_z
Ag1 Ag 0.0183 0.2500 0.0162
Ag2 Ag 0.3979 0.7500 0.7354
Hg1 Hg 0.4923 0.7500 0.1656
Cl1 Cl 0.3155 0.2500 0.4931
O1 O 0.2462 0.5138 0.9746

***

Entry 13:
# PBE LiPa2F11, relaxed
# - ρ: 4.7 g/cm³
# - Total energy: -371.7 eV/cell
data_LiPa2F11
_chemical_formula_sum 'Li4 Pa8 F44'
_cell_length_a 8.9330
_cell_length_b 9.9547
_cell_length_c 10.7916
_cell_angle_alpha 90.00
_cell_angle_beta 90.00
_cell_angle_gamma 90.00
_symmetry_space_group_name_H-M 'I b a m'
_symmetry_Int_Tables_number 72
_symmetry_space_group_name_Hall '-I 2 2c'
loop_
_atom_site_label
_atom_site_type_symbol
_atom_site_fract_x
_atom_site_fract_y
_atom_site_fract_z
Li1 Li 0.0000 0.0000 0.2500
Pa1 Pa 0.1133 0.2926 0.0000
F1 F 0.0000 0.5000 0.0000
F2 F 0.0683 0.1394 0.1315
F3 F 0.1490 0.2823 0.5000
F4 F 0.2028 0.3925 0.1505

***

Entry 14:
# PBE Na3DySb2Se6, relaxed
# - ρ: 5.0 g/cm³
# - Total energy: -99.3 eV/cell
data_Na3DySb2Se6
_chemical_formula_sum 'Na6 Dy2 Sb4 Se12'
_cell_length_a 7.2144
_cell_length_b 12.4999
_cell_length_c 7.4260
_cell_angle_alpha 90.00
_cell_angle_beta 108.88
_cell_angle_gamma 90.00
_symmetry_space_group_name_H-M 'C 1 2/m 1'
_symmetry_Int_Tables_number 12
loop_
_symmetry_equiv_pos_as_xyz
'x,y,z'
'-x,-y,-z'
'-x,y,-z'
'x,-y,z'
'x+1/2,y+1/2,z'
'-x+1/2,-y+1/2,-z'
'-x+1/2,y+1/2,-z'
'x+1/2,-y+1/2,z'
loop_
_atom_site_label
_atom_site_type_symbol
_atom_site_fract_x
_atom_site_fract_y
_atom_site_fract_z
Na1 Na 0.0000 0.0000 0.0000
Na2 Na 0.0000 0.3286 0.0000
Dy1 Dy 0.0000 0.5000 0.5000
Sb1 Sb 0.0000 0.1661 0.5000
Se1 Se 0.2423 0.3341 0.7296
Se2 Se 0.2451 0.0000 0.7313

***

Entry 15:
# PBE Cs3O, relaxed
# - ρ: 2.3 g/cm³
# - Polymorph energy (0 for the lowest one): 59.2 meV/atom
data_Cs3O
_chemical_formula_sum 'Cs6 O2'
_cell_length_a 4.6537
_cell_length_b 15.3412
_cell_length_c 8.2297
_cell_angle_alpha 90.00
_cell_angle_beta 90.00
_cell_angle_gamma 90.00
_symmetry_space_group_name_H-M 'I m m 2'
_symmetry_Int_Tables_number 44
loop_
_symmetry_equiv_pos_as_xyz
'x,y,z'
'-x,-y,z'
'-x,y,z'
'x,-y,z'
'x+1/2,y+1/2,z+1/2'
'-x+1/2,-y+1/2,z+1/2'
'-x+1/2,y+1/2,z+1/2'
'x+1/2,-y+1/2,z+1/2'
loop_
_atom_site_label
_atom_site_type_symbol
_atom_site_fract_x
_atom_site_fract_y
_atom_site_fract_z
Cs1 Cs 0.0000 0.0000 0.0000
Cs2 Cs 0.0000 0.3582 0.1332
O1 O 0.0000 0.5000 0.3007

***

Entry 16:
# PBE La5S8, relaxed
# - ρ: 3.5 g/cm³
# - Polymorph energy (0 for the lowest one): 146.9 meV/atom
data_La5S8
_chemical_formula_sum 'La20 S32'
_cell_length_a 12.1277
_cell_length_b 12.1277
_cell_length_c 12.1277
_cell_angle_alpha 90.00
_cell_angle_beta 90.00
_cell_angle_gamma 90.00
_symmetry_space_group_name_H-M 'F -4 3 m'
_symmetry_Int_Tables_number 216
_symmetry_space_group_name_Hall 'F -4 2 3'
loop_
_atom_site_label
_atom_site_type_symbol
_atom_site_fract_x
_atom_site_fract_y
_atom_site_fract_z
La1 La 0.0000 0.0000 0.0000
La2 La 0.1224 0.1224 0.3776
S1 S 0.1094 0.1094 0.6094
S2 S 0.1331 0.1331 0.1331

***

Entry 17:
# PBE Ac2PaTi3O12, relaxed
# - ρ: 7.2 g/cm³
# - Total energy: -464.8 eV/cell
data_Ac2PaTi3O12
_chemical_formula_sum 'Ac6 Pa3 Ti9 O36'
_cell_length_a 7.1593
_cell_length_b 7.1593
_cell_length_c 15.9558
_cell_angle_alpha 90.00
_cell_angle_beta 90.00
_cell_angle_gamma 120.00
_symmetry_space_group_name_H-M 'R -3 m'
_symmetry_Int_Tables_number 166
_symmetry_space_group_name_Hall '-R 3 2"'
loop_
_atom_site_label
_atom_site_type_symbol
_atom_site_fract_x
_atom_site_fract_y
_atom_site_fract_z
Ac1 Ac 0.0000 0.0000 0.1143
Pa1 Pa 0.0000 0.0000 0.5000
Ti1 Ti 0.0000 0.5000 0.0000
O1 O 0.0355 0.5177 0.8756
O2 O 0.0749 0.5374 0.3068

***

Entry 18:
# PBE TaCo2H, relaxed
# - ρ: 11.8 g/cm³
# - Polymorph energy (0 for the lowest one): 0.0 meV/atom
data_TaCo2H
_chemical_formula_sum 'Ta4 Co8 H4'
_cell_length_a 4.9531
_cell_length_b 4.9531
_cell_length_c 6.8917
_cell_angle_alpha 90.00
_cell_angle_beta 90.00
_cell_angle_gamma 90.00
_symmetry_space_group_name_H-M 'I -4 2 d'
_symmetry_Int_Tables_number 122
_symmetry_space_group_name_Hall 'I -4 2bw'
loop_
_atom_site_label
_atom_site_type_symbol
_atom_site_fract_x
_atom_site_fract_y
_atom_site_fract_z
Ta1 Ta 0.0000 0.0000 0.0000
Co1 Co 0.0731 0.2500 0.6250
H1 H 0.0000 0.0000 0.5000

***

Entry 19:
# PBE Ti2PdBr4, relaxed
# - ρ: 4.6 g/cm³
# - Total energy: -58.1 eV/cell
data_Ti2PdBr4
_chemical_formula_sum 'Ti4 Pd2 Br8'
_cell_length_a 5.3038
_cell_length_b 5.3038
_cell_length_c 13.4885
_cell_angle_alpha 90.00
_cell_angle_beta 90.00
_cell_angle_gamma 90.00
_symmetry_space_group_name_H-M 'I 4/m m m'
_symmetry_Int_Tables_number 139
_symmetry_space_group_name_Hall '-I 4 2'
loop_
_atom_site_label
_atom_site_type_symbol
_atom_site_fract_x
_atom_site_fract_y
_atom_site_fract_z
Ti1 Ti 0.0000 0.0000 0.0959
Pd1 Pd 0.0000 0.0000 0.5000
Br1 Br 0.0000 0.0000 0.2798
Br2 Br 0.0000 0.5000 0.0000

***

Entry 20:
# PBE ZnAsCl, relaxed
# - ρ: 4.1 g/cm³
# - Polymorph energy (0 for the lowest one): 521.6 meV/atom
data_ZnAsCl
_chemical_formula_sum 'Zn1 As1 Cl1'
_cell_length_a 4.1973
_cell_length_b 4.1973
_cell_length_c 4.6140
_cell_angle_alpha 90.00
_cell_angle_beta 90.00
_cell_angle_gamma 120.00
_symmetry_space_group_name_H-M 'P -6 m 2'
_symmetry_Int_Tables_number 187
_symmetry_space_group_name_Hall 'P -6 2'
loop_
_atom_site_label
_atom_site_type_symbol
_atom_site_fract_x
_atom_site_fract_y
_atom_site_fract_z
Zn1 Zn 0.0000 0.0000 0.0000
As1 As 0.3333 0.6667 0.0000
Cl1 Cl 0.6667 0.3333 0.5000

***

Entry 21:
# PBE DyTlAu, relaxed
# - ρ: 12.6 g/cm³
# - ΔE_f: -457 meV/atom
data_DyTlAu
_chemical_formula_sum 'Dy2 Tl2 Au2'
_cell_length_a 3.6113
_cell_length_b 3.6113
_cell_length_c 11.3725
_cell_angle_alpha 90.00
_cell_angle_beta 90.00
_cell_angle_gamma 90.00
_symmetry_space_group_name_H-M 'I 4 m m'
_symmetry_Int_Tables_number 107
_symmetry_space_group_name_Hall 'I 4 -2'
loop_
_atom_site_label
_atom_site_type_symbol
_atom_site_fract_x
_atom_site_fract_y
_atom_site_fract_z
Dy1 Dy 0.0000 0.0000 0.0000
Tl1 Tl 0.0000 0.0000 0.6969
Au1 Au 0.0000 0.0000 0.3625

***

Entry 22:
# PBE PaSnBiAu, relaxed
# - ρ: 12.7 g/cm³
# - ΔE_f: -279 meV/atom
# - Polymorph energy (0 for the lowest one): 0.0 meV/atom
data_PaSnBiAu
_chemical_formula_sum 'Pa1 Sn1 Bi1 Au1'
_cell_length_a 4.3202
_cell_length_b 4.7519
_cell_length_c 4.8008
_cell_angle_alpha 90.00
_cell_angle_beta 90.00
_cell_angle_gamma 90.00
_symmetry_space_group_name_H-M 'P m m m'
_symmetry_Int_Tables_number 47
loop_
_symmetry_equiv_pos_as_xyz
'x,y,z'
'-x,-y,-z'
'-x,-y,z'
'x,y,-z'
'x,-y,-z'
'-x,y,z'
'-x,y,-z'
'x,-y,z'
loop_
_atom_site_label
_atom_site_type_symbol
_atom_site_fract_x
_atom_site_fract_y
_atom_site_fract_z
Pa1 Pa 0.0000 0.0000 0.0000
Sn1 Sn 0.5000 0.0000 0.5000
Bi1 Bi 0.5000 0.5000 0.0000
Au1 Au 0.0000 0.5000 0.5000